[1]
A geometry-optimized BeAlP2 structure, computed with PBE-GGA.

```
4
Lattice="3.4222 0.0000 0.0000 0.0000 5.0102 0.0000 0.0000 0.0000 3.3558" Properties=species:S:1:pos:R:3 pbc="T T T"
P 0.0000 0.0000 0.0000
P 1.7111 2.5051 0.0000
Al 1.7111 0.0000 1.6779
Be 0.0000 2.5051 1.6779
```

Properties
* formation enthalpy at 0 K: 1.261 eV/f.u.
* crystal system: orthorhombic

[2]
A geometry-optimized BeAl2P structure, computed with PBE-GGA.

```
4
Lattice="4.5639 -0.0402 0.0000 1.2644 4.3854 0.0000 -2.9142 -2.1726 2.7601" Properties=species:S:1:pos:R:3 pbc="T T T"
P 2.2820 -0.0201 1.3800
Al 0.0000 0.0000 0.0000
Al 2.9142 2.1726 0.0000
Be 0.6322 2.1927 1.3800
```

Properties
* formation enthalpy at 0 K: 1.057 eV/f.u.
* crystal system: tetragonal

[3]
A geometry-optimized BeAlP2 structure, computed with PBE-GGA.

```
4
Lattice="-3.4747 0.6310 1.0765 -1.9122 -2.2499 2.2164 2.7146 2.8959 3.5979" Properties=species:S:1:pos:R:3 pbc="T T T"
P 0.4157 0.5617 0.8498
P -2.0487 0.9426 5.1907
Al -0.7907 0.8250 3.1689
Be -1.5848 -0.4138 1.1268
```

Properties
* formation enthalpy at 0 K: -0.584 eV/f.u.
* crystal system: monoclinic

[4]
A geometry-optimized BeAl2P structure, computed with PBE-GGA.

```
8
Lattice="-2.3514 3.1086 4.4006 -3.6597 -4.4453 1.1847 0.1632 -2.4841 5.7685" Properties=species:S:1:pos:R:3 pbc="T T T"
P 0.0000 0.0000 0.0000
P -2.5968 -0.0219 6.4808
Al -1.8964 0.7796 4.3595
Al -2.5303 -3.0241 2.7136
Al -2.1160 -2.3451 6.4157
Al -5.1531 -3.0518 9.2186
Be -3.0055 -0.6683 2.7926
Be -3.2510 -3.7988 4.8729
```

Properties
* formation enthalpy at 0 K: 1.405 eV/f.u.
* crystal system: tetragonal

| no. | energy (eV/cell) | relative energy among the computed polymorphs (meV per atom) |
| --- | --- | --- |
| 1 | -17.03 | 555 |
| 2 | -15.56 | 206 |
| 3 | -18.87 | 94 |
| 4 | -30.43 | 293 |